(1)
Compound: CaAl2V
Source: Alexandria
Functional: GGA-PBE
Structure: optimized geometry

```
data_CaAl2V
_chemical_formula_sum 'Ca1 Al2 V1'
_space_group_name_H-M_alt 'P 1'
_space_group_IT_number 1
_cell_length_a 4.790
_cell_length_b 4.790
_cell_length_c 4.790
_cell_angle_alpha 60.00
_cell_angle_beta 60.00
_cell_angle_gamma 60.00
loop_
_space_group_symop_operation_xyz
'x,y,z'
loop_
_atom_site_label
_atom_site_type_symbol
_atom_site_fract_x
_atom_site_fract_y
_atom_site_fract_z
Al1 Al 0.750 0.750 0.750
V1 V 0.500 0.500 0.500
Al2 Al 0.250 0.250 0.250
Ca1 Ca 0.000 0.000 0.000
```

Output
Energy, eV per atom: -4.565
ΔH_f (0 K), kJ per mole of atoms: 8.4

(2)
Compound: Mn2CoP
Source: Alexandria
Functional: GGA-PBE
Structure: optimized geometry

```
data_Mn2CoP
_chemical_formula_sum 'Mn2 Co1 P1'
_space_group_name_H-M_alt 'P 1'
_space_group_IT_number 1
_cell_length_a 2.724
_cell_length_b 2.724
_cell_length_c 5.766
_cell_angle_alpha 90.00
_cell_angle_beta 90.00
_cell_angle_gamma 90.00
loop_
_space_group_symop_operation_xyz
'x,y,z'
loop_
_atom_site_label
_atom_site_type_symbol
_atom_site_fract_x
_atom_site_fract_y
_atom_site_fract_z
Mn1 Mn 0.000 0.000 0.477
Co1 Co 0.500 0.500 0.750
Mn2 Mn 0.000 0.000 0.023
P1 P 0.500 0.500 0.250
```

Output
Energy, eV per atom: -7.837
ΔH_f (0 K), kJ per mole of atoms: -11.9

(3)
Compound: NaLa2CrI
Source: Alexandria
Functional: GGA-PBE
Structure: optimized geometry

```
data_NaLa2CrI
_chemical_formula_sum 'Na1 La2 Cr1 I1'
_space_group_name_H-M_alt 'P 1'
_space_group_IT_number 1
_cell_length_a 6.054
_cell_length_b 4.866
_cell_length_c 6.054
_cell_angle_alpha 90.00
_cell_angle_beta 90.00
_cell_angle_gamma 90.00
loop_
_space_group_symop_operation_xyz
'x,y,z'
loop_
_atom_site_label
_atom_site_type_symbol
_atom_site_fract_x
_atom_site_fract_y
_atom_site_fract_z
Cr1 Cr 0.000 0.500 0.000
La1 La 0.500 0.000 0.000
I1 I 0.500 0.500 0.500
Na1 Na 0.000 0.000 0.000
La2 La 0.000 0.000 0.500
```

Output
E_form (uncorrected), eV per formula unit: 3.6
Energy, eV per atom: -3.740

(4)
Compound: MgTc
Source: Alexandria
Functional: GGA-PBE
Structure: optimized geometry

```
data_MgTc
_chemical_formula_sum 'Mg2 Tc2'
_space_group_name_H-M_alt 'P 1'
_space_group_IT_number 1
_cell_length_a 2.884
_cell_length_b 2.883
_cell_length_c 9.585
_cell_angle_alpha 81.24
_cell_angle_beta 81.28
_cell_angle_gamma 59.81
loop_
_space_group_symop_operation_xyz
'x,y,z'
loop_
_atom_site_label
_atom_site_type_symbol
_atom_site_fract_x
_atom_site_fract_y
_atom_site_fract_z
Mg1 Mg 0.441 0.148 0.057
Mg2 Mg 0.009 0.719 0.348
Tc1 Tc 0.259 0.966 0.597
Tc2 Tc 0.857 0.562 0.808
```

Output
Energy, eV per atom: -5.870
ΔH_f (0 K), kJ per mole of atoms: 10.6

(5)
Compound: ErVSe
Source: Alexandria
Functional: GGA-PBE
Structure: optimized geometry

```
data_ErVSe
_chemical_formula_sum 'Er2 V2 Se2'
_space_group_name_H-M_alt 'P 1'
_space_group_IT_number 1
_cell_length_a 3.812
_cell_length_b 3.812
_cell_length_c 9.708
_cell_angle_alpha 107.26
_cell_angle_beta 107.26
_cell_angle_gamma 91.35
loop_
_space_group_symop_operation_xyz
'x,y,z'
loop_
_atom_site_label
_atom_site_type_symbol
_atom_site_fract_x
_atom_site_fract_y
_atom_site_fract_z
Er1 Er 0.570 0.570 0.767
Er2 Er 0.430 0.430 0.233
V1 V 0.111 0.111 0.440
V2 V 0.889 0.889 0.560
Se1 Se 0.146 0.146 0.865
Se2 Se 0.854 0.854 0.135
```

Output
E_form (uncorrected), eV per formula unit: -2.2
Energy, eV per atom: -6.457

(6)
Compound: PrIn2Hg5
Source: Alexandria
Functional: GGA-PBE
Structure: optimized geometry

```
data_PrIn2Hg5
_chemical_formula_sum 'Pr1 In2 Hg5'
_space_group_name_H-M_alt 'P 1'
_space_group_IT_number 1
_cell_length_a 4.839
_cell_length_b 4.839
_cell_length_c 9.493
_cell_angle_alpha 104.77
_cell_angle_beta 104.77
_cell_angle_gamma 90.00
loop_
_space_group_symop_operation_xyz
'x,y,z'
loop_
_atom_site_label
_atom_site_type_symbol
_atom_site_fract_x
_atom_site_fract_y
_atom_site_fract_z
Hg1 Hg 0.872 0.372 0.744
Hg2 Hg 0.372 0.872 0.744
In1 In 0.243 0.243 0.487
In2 In 0.757 0.757 0.513
Hg3 Hg 0.500 0.500 0.000
Pr1 Pr 0.000 0.000 0.000
Hg4 Hg 0.128 0.628 0.256
Hg5 Hg 0.628 0.128 0.256
```

Output
Energy, eV per atom: -1.689
ΔH_f (0 K), kJ per mole of atoms: -21.1

(7)
Compound: Ga2Bi5Pb12
Source: Alexandria
Functional: GGA-PBE
Structure: optimized geometry

```
data_Ga2Bi5Pb12
_chemical_formula_sum 'Ga2 Bi5 Pb12'
_space_group_name_H-M_alt 'P 1'
_space_group_IT_number 1
_cell_length_a 11.135
_cell_length_b 9.808
_cell_length_c 6.642
_cell_angle_alpha 96.38
_cell_angle_beta 90.00
_cell_angle_gamma 124.59
loop_
_space_group_symop_operation_xyz
'x,y,z'
loop_
_atom_site_label
_atom_site_type_symbol
_atom_site_fract_x
_atom_site_fract_y
_atom_site_fract_z
Pb1 Pb 0.541 0.081 0.264
Pb2 Pb 0.359 0.197 0.629
Ga1 Ga 0.750 0.000 0.000
Bi1 Bi 0.211 0.423 0.506
Bi2 Bi 0.000 0.000 0.500
Pb3 Pb 0.078 0.618 0.795
Pb4 Pb 0.459 0.382 0.205
Bi3 Bi 0.676 0.352 0.887
Pb5 Pb 0.838 0.197 0.629
Pb6 Pb 0.106 0.212 0.975
Pb7 Pb 0.922 0.382 0.205
Bi4 Bi 0.324 0.648 0.113
Bi5 Bi 0.789 0.577 0.494
Pb8 Pb 0.459 0.919 0.736
Pb9 Pb 0.162 0.803 0.371
Pb10 Pb 0.641 0.803 0.371
Pb11 Pb 0.894 0.788 0.025
Pb12 Pb 0.541 0.618 0.795
Ga2 Ga 0.250 0.000 0.000
```

Output
Energy, eV per atom: -3.619
ΔH_f (0 K), kJ per mole of atoms: 6.1

(8)
Compound: Ca2ZnSiPt6
Source: Alexandria
Functional: GGA-PBE
Structure: optimized geometry

```
data_Ca2ZnSiPt6
_chemical_formula_sum 'Ca2 Zn1 Si1 Pt6'
_space_group_name_H-M_alt 'P 1'
_space_group_IT_number 1
_cell_length_a 5.607
_cell_length_b 8.045
_cell_length_c 8.045
_cell_angle_alpha 40.79
_cell_angle_beta 69.61
_cell_angle_gamma 90.00
loop_
_space_group_symop_operation_xyz
'x,y,z'
loop_
_atom_site_label
_atom_site_type_symbol
_atom_site_fract_x
_atom_site_fract_y
_atom_site_fract_z
Pt1 Pt 0.231 0.253 0.023
Zn1 Zn 0.000 0.000 0.000
Ca1 Ca 0.295 0.705 0.409
Ca2 Ca 0.705 0.295 0.591
Si1 Si 0.500 0.500 0.000
Pt2 Pt 0.253 0.747 0.977
Pt3 Pt 0.769 0.747 0.977
Pt4 Pt 0.747 0.769 0.507
Pt5 Pt 0.747 0.253 0.023
Pt6 Pt 0.253 0.231 0.493
```

Output
E_form (uncorrected), eV per formula unit: -6.9
Energy, eV per atom: -5.385

(9)
Compound: TbPaFe10
Source: Alexandria
Functional: GGA-PBE
Structure: optimized geometry

```
data_TbPaFe10
_chemical_formula_sum 'Tb1 Pa1 Fe10'
_space_group_name_H-M_alt 'P 1'
_space_group_IT_number 1
_cell_length_a 4.000
_cell_length_b 4.975
_cell_length_c 8.592
_cell_angle_alpha 90.00
_cell_angle_beta 90.00
_cell_angle_gamma 90.00
loop_
_space_group_symop_operation_xyz
'x,y,z'
loop_
_atom_site_label
_atom_site_type_symbol
_atom_site_fract_x
_atom_site_fract_y
_atom_site_fract_z
Tb1 Tb 0.000 0.000 0.000
Fe1 Fe 0.000 0.000 0.337
Pa1 Pa 0.000 0.500 0.500
Fe2 Fe 0.500 0.500 0.000
Fe3 Fe 0.500 0.000 0.500
Fe4 Fe 0.500 0.750 0.251
Fe5 Fe 0.000 0.500 0.829
Fe6 Fe 0.500 0.250 0.749
Fe7 Fe 0.000 0.500 0.171
Fe8 Fe 0.500 0.750 0.749
Fe9 Fe 0.500 0.250 0.251
Fe10 Fe 0.000 0.000 0.663
```

Output
Energy, eV per atom: -8.283
ΔH_f (0 K), kJ per mole of atoms: -5.2

(10)
Compound: PrNdCd
Source: Alexandria
Functional: GGA-PBE
Structure: optimized geometry

```
data_PrNdCd
_chemical_formula_sum 'Pr1 Nd1 Cd1'
_space_group_name_H-M_alt 'P 1'
_space_group_IT_number 1
_cell_length_a 3.680
_cell_length_b 5.376
_cell_length_c 5.376
_cell_angle_alpha 120.00
_cell_angle_beta 90.00
_cell_angle_gamma 90.00
loop_
_space_group_symop_operation_xyz
'x,y,z'
loop_
_atom_site_label
_atom_site_type_symbol
_atom_site_fract_x
_atom_site_fract_y
_atom_site_fract_z
Cd1 Cd 0.661 0.667 0.333
Pr1 Pr 0.962 0.000 0.000
Nd1 Nd 0.376 0.333 0.667
```

Output
Energy, eV per atom: -3.581
ΔH_f (0 K), kJ per mole of atoms: -9.0

(11)
Compound: Te2IN2
Source: Alexandria
Functional: GGA-PBE
Structure: optimized geometry

```
data_Te2IN2
_chemical_formula_sum 'Te2 I1 N2'
_space_group_name_H-M_alt 'P 1'
_space_group_IT_number 1
_cell_length_a 4.838
_cell_length_b 4.838
_cell_length_c 4.420
_cell_angle_alpha 90.00
_cell_angle_beta 90.00
_cell_angle_gamma 90.00
loop_
_space_group_symop_operation_xyz
'x,y,z'
loop_
_atom_site_label
_atom_site_type_symbol
_atom_site_fract_x
_atom_site_fract_y
_atom_site_fract_z
I1 I 0.500 0.500 0.500
Te1 Te 0.500 0.000 0.000
N1 N 0.000 0.000 0.500
N2 N 0.000 0.000 0.000
Te2 Te 0.000 0.500 0.000
```

Output
E_form (uncorrected), eV per formula unit: 8.7
Energy, eV per atom: -3.157

(12)
Compound: ScVS2
Source: Alexandria
Functional: GGA-PBE
Structure: optimized geometry

```
data_ScVS2
_chemical_formula_sum 'Sc1 V1 S2'
_space_group_name_H-M_alt 'P 1'
_space_group_IT_number 1
_cell_length_a 7.919
_cell_length_b 7.919
_cell_length_c 7.919
_cell_angle_alpha 26.70
_cell_angle_beta 26.70
_cell_angle_gamma 26.70
loop_
_space_group_symop_operation_xyz
'x,y,z'
loop_
_atom_site_label
_atom_site_type_symbol
_atom_site_fract_x
_atom_site_fract_y
_atom_site_fract_z
S1 S 0.103 0.103 0.103
S2 S 0.897 0.897 0.897
Sc1 Sc 0.500 0.500 0.500
V1 V 0.000 0.000 0.000
```

Output
E_form (uncorrected), eV per formula unit: -3.5
Energy, eV per atom: -6.808

(13)
Compound: In2TeP
Source: Alexandria
Functional: GGA-PBE
Structure: optimized geometry

```
data_In2TeP
_chemical_formula_sum 'In2 Te1 P1'
_space_group_name_H-M_alt 'P 1'
_space_group_IT_number 1
_cell_length_a 3.986
_cell_length_b 4.516
_cell_length_c 7.366
_cell_angle_alpha 50.32
_cell_angle_beta 90.00
_cell_angle_gamma 90.00
loop_
_space_group_symop_operation_xyz
'x,y,z'
loop_
_atom_site_label
_atom_site_type_symbol
_atom_site_fract_x
_atom_site_fract_y
_atom_site_fract_z
In1 In 0.000 0.000 0.000
Te1 Te 0.000 0.000 0.500
In2 In 0.500 0.500 0.000
P1 P 0.500 0.500 0.500
```

Output
E_form (uncorrected), eV per formula unit: 1.1
Energy, eV per atom: -3.239

(14)
Compound: Li2CaCeAu2
Source: Alexandria
Functional: GGA-PBE
Structure: optimized geometry

```
data_Li2CaCeAu2
_chemical_formula_sum 'Li2 Ca1 Ce1 Au2'
_space_group_name_H-M_alt 'P 1'
_space_group_IT_number 1
_cell_length_a 4.609
_cell_length_b 4.609
_cell_length_c 7.386
_cell_angle_alpha 90.00
_cell_angle_beta 90.00
_cell_angle_gamma 120.00
loop_
_space_group_symop_operation_xyz
'x,y,z'
loop_
_atom_site_label
_atom_site_type_symbol
_atom_site_fract_x
_atom_site_fract_y
_atom_site_fract_z
Au1 Au 0.333 0.667 0.244
Au2 Au 0.667 0.333 0.756
Ce1 Ce 0.000 0.000 0.000
Li1 Li 0.667 0.333 0.271
Ca1 Ca 0.000 0.000 0.500
Li2 Li 0.333 0.667 0.729
```

Output
Energy, eV per atom: -3.512
ΔH_f (0 K), kJ per mole of atoms: -44.3

(15)
Compound: NaCdCo2Pd
Source: Alexandria
Functional: GGA-PBE
Structure: optimized geometry

```
data_NaCdCo2Pd
_chemical_formula_sum 'Na1 Cd1 Co2 Pd1'
_space_group_name_H-M_alt 'P 1'
_space_group_IT_number 1
_cell_length_a 4.769
_cell_length_b 5.055
_cell_length_c 4.769
_cell_angle_alpha 90.00
_cell_angle_beta 90.00
_cell_angle_gamma 90.00
loop_
_space_group_symop_operation_xyz
'x,y,z'
loop_
_atom_site_label
_atom_site_type_symbol
_atom_site_fract_x
_atom_site_fract_y
_atom_site_fract_z
Pd1 Pd 0.500 0.500 0.500
Co1 Co 0.000 0.000 0.500
Cd1 Cd 0.000 0.000 0.000
Na1 Na 0.000 0.500 0.000
Co2 Co 0.500 0.000 0.000
```

Output
Energy, eV per atom: -2.942
ΔH_f (0 K), kJ per mole of atoms: 133.7

(16)
Compound: CrGe3Pt
Source: Alexandria
Functional: GGA-PBE
Structure: optimized geometry

```
data_CrGe3Pt
_chemical_formula_sum 'Cr1 Ge3 Pt1'
_space_group_name_H-M_alt 'P 1'
_space_group_IT_number 1
_cell_length_a 4.613
_cell_length_b 4.613
_cell_length_c 4.613
_cell_angle_alpha 90.00
_cell_angle_beta 90.00
_cell_angle_gamma 90.00
loop_
_space_group_symop_operation_xyz
'x,y,z'
loop_
_atom_site_label
_atom_site_type_symbol
_atom_site_fract_x
_atom_site_fract_y
_atom_site_fract_z
Ge1 Ge 0.500 0.000 0.000
Pt1 Pt 0.500 0.500 0.500
Cr1 Cr 0.000 0.000 0.000
Ge2 Ge 0.000 0.000 0.500
Ge3 Ge 0.000 0.500 0.000
```

Output
Energy, eV per atom: -5.389
ΔH_f (0 K), kJ per mole of atoms: 49.6

(17)
Compound: AcGd2Sn
Source: Alexandria
Functional: GGA-PBE
Structure: optimized geometry

```
data_AcGd2Sn
_chemical_formula_sum 'Ac1 Gd2 Sn1'
_space_group_name_H-M_alt 'P 1'
_space_group_IT_number 1
_cell_length_a 3.617
_cell_length_b 3.617
_cell_length_c 12.265
_cell_angle_alpha 81.52
_cell_angle_beta 81.52
_cell_angle_gamma 60.00
loop_
_space_group_symop_operation_xyz
'x,y,z'
loop_
_atom_site_label
_atom_site_type_symbol
_atom_site_fract_x
_atom_site_fract_y
_atom_site_fract_z
Gd1 Gd 0.098 0.098 0.706
Sn1 Sn 0.500 0.500 0.500
Ac1 Ac 0.000 0.000 0.000
Gd2 Gd 0.902 0.902 0.294
```

Output
Energy, eV per atom: -9.109
ΔH_f (0 K), kJ per mole of atoms: -3.9

(18)
Compound: Pu2CoPb
Source: Alexandria
Functional: GGA-PBE
Structure: optimized geometry

```
data_Pu2CoPb
_chemical_formula_sum 'Pu2 Co1 Pb1'
_space_group_name_H-M_alt 'P 1'
_space_group_IT_number 1
_cell_length_a 3.581
_cell_length_b 3.581
_cell_length_c 10.061
_cell_angle_alpha 79.75
_cell_angle_beta 79.75
_cell_angle_gamma 60.00
loop_
_space_group_symop_operation_xyz
'x,y,z'
loop_
_atom_site_label
_atom_site_type_symbol
_atom_site_fract_x
_atom_site_fract_y
_atom_site_fract_z
Co1 Co 0.500 0.500 0.500
Pu1 Pu 0.889 0.889 0.334
Pu2 Pu 0.111 0.111 0.666
Pb1 Pb 0.000 0.000 0.000
```

Output
Energy, eV per atom: -9.650
ΔH_f (0 K), kJ per mole of atoms: 21.1

(19)
Compound: K2NbAgAs
Source: Alexandria
Functional: GGA-PBE
Structure: optimized geometry

```
data_K2NbAgAs
_chemical_formula_sum 'K2 Nb1 Ag1 As1'
_space_group_name_H-M_alt 'P 1'
_space_group_IT_number 1
_cell_length_a 6.380
_cell_length_b 4.843
_cell_length_c 6.380
_cell_angle_alpha 90.00
_cell_angle_beta 90.00
_cell_angle_gamma 90.00
loop_
_space_group_symop_operation_xyz
'x,y,z'
loop_
_atom_site_label
_atom_site_type_symbol
_atom_site_fract_x
_atom_site_fract_y
_atom_site_fract_z
As1 As 0.000 0.000 0.000
K1 K 0.500 0.000 0.000
Nb1 Nb 0.500 0.500 0.500
K2 K 0.000 0.000 0.500
Ag1 Ag 0.000 0.500 0.000
```

Output
Energy, eV per atom: -2.966
ΔH_f (0 K), kJ per mole of atoms: 95.2

(20)
Compound: AcLa4Er3
Source: Alexandria
Functional: GGA-PBE
Structure: optimized geometry

```
data_AcLa4Er3
_chemical_formula_sum 'Ac1 La4 Er3'
_space_group_name_H-M_alt 'P 1'
_space_group_IT_number 1
_cell_length_a 5.919
_cell_length_b 6.167
_cell_length_c 8.879
_cell_angle_alpha 109.43
_cell_angle_beta 109.47
_cell_angle_gamma 90.00
loop_
_space_group_symop_operation_xyz
'x,y,z'
loop_
_atom_site_label
_atom_site_type_symbol
_atom_site_fract_x
_atom_site_fract_y
_atom_site_fract_z
Er1 Er 0.000 0.500 0.000
La1 La 0.761 0.194 0.521
La2 La 0.361 0.407 0.722
Er2 Er 0.868 0.812 0.736
Er3 Er 0.132 0.188 0.264
La3 La 0.639 0.593 0.278
Ac1 Ac 0.500 0.000 0.000
La4 La 0.239 0.806 0.479
```

Output
Energy, eV per atom: -4.590
ΔH_f (0 K), kJ per mole of atoms: 9.5